1.
A plane-wave DFT calculation with PBE was carried out for a relaxed PmCdPb crystal.

energy of formation from the pure elements	-0.33	eV/atom
size of the total moment	0.0	μB per formula unit
density of states at the Fermi level	1.84	states/eV/cell
excess energy over the best structure of this formula in the dataset	21	meV/atom

CIF file:
```
data_PmCdPb
_cell_length_a 6.2246
_cell_length_b 6.2246
_cell_length_c 6.7396
_cell_angle_alpha 108.50
_cell_angle_beta 108.50
_cell_angle_gamma 46.81
_symmetry_space_group_name_H-M 'P 1'
_symmetry_Int_Tables_number 1
_symmetry_space_group_name_Hall 'P 1'
loop_
_atom_site_label
_atom_site_type_symbol
_atom_site_fract_x
_atom_site_fract_y
_atom_site_fract_z
Pm1 Pm 0.1562 0.1562 0.2232
Pm2 Pm 0.8438 0.8438 0.7768
Cd1 Cd 0.4183 0.4183 0.1148
Cd2 Cd 0.5817 0.5817 0.8852
Pb1 Pb 0.1410 0.1410 0.6952
Pb2 Pb 0.8590 0.8590 0.3048
```

---

2.
A plane-wave DFT calculation with PBE was carried out for a relaxed PmCd2Pb crystal.

energy of formation from the pure elements	-0.37	eV/atom
size of the total moment	0.0	μB per formula unit
density of states at the Fermi level	1.23	states/eV/cell

CIF file:
```
data_PmCd2Pb
_cell_length_a 4.6053
_cell_length_b 4.6053
_cell_length_c 4.9219
_cell_angle_alpha 90.00
_cell_angle_beta 90.00
_cell_angle_gamma 90.00
_symmetry_space_group_name_H-M 'P 1'
_symmetry_Int_Tables_number 1
_symmetry_space_group_name_Hall 'P 1'
loop_
_atom_site_label
_atom_site_type_symbol
_atom_site_fract_x
_atom_site_fract_y
_atom_site_fract_z
Pm1 Pm 0.0000 0.0000 0.0000
Cd1 Cd 0.0000 0.5000 0.5000
Cd2 Cd 0.5000 0.0000 0.5000
Pb1 Pb 0.5000 0.5000 0.0000
```

---

3.
A plane-wave DFT calculation with PBE was carried out for a relaxed PmCd2Pb crystal.

energy of formation from the pure elements	-0.19	eV/atom
size of the total moment	0.4	μB per formula unit
density of states at the Fermi level	2.19	states/eV/cell

CIF file:
```
data_PmCd2Pb
_cell_length_a 3.7285
_cell_length_b 3.7285
_cell_length_c 7.8994
_cell_angle_alpha 90.00
_cell_angle_beta 90.00
_cell_angle_gamma 90.00
_symmetry_space_group_name_H-M 'P 1'
_symmetry_Int_Tables_number 1
_symmetry_space_group_name_Hall 'P 1'
loop_
_atom_site_label
_atom_site_type_symbol
_atom_site_fract_x
_atom_site_fract_y
_atom_site_fract_z
Pm1 Pm 0.0000 0.0000 0.0000
Cd1 Cd 0.5000 0.5000 0.2557
Cd2 Cd 0.5000 0.5000 0.7443
Pb1 Pb 0.0000 0.0000 0.5000
```

---

4.
A plane-wave DFT calculation with PBE was carried out for a relaxed Pm2CdPb3 crystal.

energy of formation from the pure elements	-0.20	eV/atom
size of the total moment	0.0	μB per formula unit
density of states at the Fermi level	4.49	states/eV/cell
excess energy over the best structure of this formula in the dataset	255	meV/atom

CIF file:
```
data_Pm2CdPb3
_cell_length_a 9.5859
_cell_length_b 9.5859
_cell_length_c 9.5859
_cell_angle_alpha 158.46
_cell_angle_beta 144.63
_cell_angle_gamma 41.79
_symmetry_space_group_name_H-M 'P 1'
_symmetry_Int_Tables_number 1
_symmetry_space_group_name_Hall 'P 1'
loop_
_atom_site_label
_atom_site_type_symbol
_atom_site_fract_x
_atom_site_fract_y
_atom_site_fract_z
Pm1 Pm 0.1550 0.1550 0.0000
Pm2 Pm 0.8450 0.8450 0.0000
Cd1 Cd 0.5000 0.5000 0.0000
Pb1 Pb 0.0000 0.5000 0.5000
Pb2 Pb 0.3339 0.3339 0.0000
Pb3 Pb 0.6661 0.6661 0.0000
```

---

5.
A plane-wave DFT calculation with PBE was carried out for a relaxed Pm2CdPb crystal.

energy of formation from the pure elements	-0.44	eV/atom
size of the total moment	0.0	μB per formula unit
density of states at the Fermi level	2.75	states/eV/cell

CIF file:
```
data_Pm2CdPb
_cell_length_a 5.1510
_cell_length_b 5.1510
_cell_length_c 4.3418
_cell_angle_alpha 90.00
_cell_angle_beta 90.00
_cell_angle_gamma 90.00
_symmetry_space_group_name_H-M 'P 1'
_symmetry_Int_Tables_number 1
_symmetry_space_group_name_Hall 'P 1'
loop_
_atom_site_label
_atom_site_type_symbol
_atom_site_fract_x
_atom_site_fract_y
_atom_site_fract_z
Pm1 Pm 0.0000 0.5000 0.0000
Pm2 Pm 0.5000 0.0000 0.0000
Cd1 Cd 0.0000 0.0000 0.5000
Pb1 Pb 0.5000 0.5000 0.5000
```

---

6.
A plane-wave DFT calculation with PBE was carried out for a relaxed PmCdPb crystal.

energy of formation from the pure elements	-0.24	eV/atom
size of the total moment	0.0	μB per formula unit
density of states at the Fermi level	6.19	states/eV/cell
excess energy over the best structure of this formula in the dataset	109	meV/atom

CIF file:
```
data_PmCdPb
_cell_length_a 9.0912
_cell_length_b 9.0912
_cell_length_c 9.0912
_cell_angle_alpha 31.62
_cell_angle_beta 31.62
_cell_angle_gamma 31.62
_symmetry_space_group_name_H-M 'P 1'
_symmetry_Int_Tables_number 1
_symmetry_space_group_name_Hall 'P 1'
loop_
_atom_site_label
_atom_site_type_symbol
_atom_site_fract_x
_atom_site_fract_y
_atom_site_fract_z
Pm1 Pm 0.0691 0.0691 0.0691
Pm2 Pm 0.9309 0.9309 0.9309
Cd1 Cd 0.3365 0.3365 0.3365
Cd2 Cd 0.6635 0.6635 0.6635
Pb1 Pb 0.1971 0.1971 0.1971
Pb2 Pb 0.8029 0.8029 0.8029
```

---

7.
A plane-wave DFT calculation with PBE was carried out for a relaxed Pm3CdPb crystal.

energy of formation from the pure elements	-0.30	eV/atom
size of the total moment	0.0	μB per formula unit
density of states at the Fermi level	10.00	states/eV/cell

CIF file:
```
data_Pm3CdPb
_cell_length_a 5.4310
_cell_length_b 5.4310
_cell_length_c 12.8386
_cell_angle_alpha 102.15
_cell_angle_beta 102.15
_cell_angle_gamma 60.06
_symmetry_space_group_name_H-M 'P 1'
_symmetry_Int_Tables_number 1
_symmetry_space_group_name_Hall 'P 1'
loop_
_atom_site_label
_atom_site_type_symbol
_atom_site_fract_x
_atom_site_fract_y
_atom_site_fract_z
Pm1 Pm 0.0880 0.0880 0.2630
Pm2 Pm 0.1905 0.1905 0.5727
Pm3 Pm 0.3667 0.3667 0.1014
Pm4 Pm 0.6333 0.6333 0.8986
Pm5 Pm 0.8095 0.8095 0.4273
Pm6 Pm 0.9120 0.9120 0.7370
Cd1 Cd 0.4605 0.4605 0.3809
Cd2 Cd 0.5395 0.5395 0.6191
Pb1 Pb 0.2813 0.2813 0.8427
Pb2 Pb 0.7187 0.7187 0.1573
```

---

8.
A plane-wave DFT calculation with PBE was carried out for a relaxed Pm5Cd2Pb crystal.

energy of formation from the pure elements	-0.28	eV/atom
size of the total moment	0.0	μB per formula unit
density of states at the Fermi level	19.23	states/eV/cell

CIF file:
```
data_Pm5Cd2Pb
_cell_length_a 9.4877
_cell_length_b 9.4877
_cell_length_c 9.4877
_cell_angle_alpha 129.55
_cell_angle_beta 129.55
_cell_angle_gamma 74.13
_symmetry_space_group_name_H-M 'P 1'
_symmetry_Int_Tables_number 1
_symmetry_space_group_name_Hall 'P 1'
loop_
_atom_site_label
_atom_site_type_symbol
_atom_site_fract_x
_atom_site_fract_y
_atom_site_fract_z
Pm1 Pm 0.0000 0.0000 0.0000
Pm2 Pm 0.0062 0.5062 0.8204
Pm3 Pm 0.1858 0.0062 0.5000
Pm4 Pm 0.3142 0.8142 0.8204
Pm5 Pm 0.4938 0.3142 0.5000
Pm6 Pm 0.5000 0.5000 0.0000
Pm7 Pm 0.5062 0.6858 0.5000
Pm8 Pm 0.6858 0.1858 0.1796
Pm9 Pm 0.8142 0.9938 0.5000
Pm10 Pm 0.9938 0.4938 0.1796
Cd1 Cd 0.1294 0.3706 0.5000
Cd2 Cd 0.3706 0.8706 0.2413
Cd3 Cd 0.6294 0.1294 0.7587
Cd4 Cd 0.8706 0.6294 0.5000
Pb1 Pb 0.2500 0.2500 0.0000
Pb2 Pb 0.7500 0.7500 0.0000
```

---

9.
A plane-wave DFT calculation with PBE was carried out for a relaxed Pm8Cd2Pb crystal.

energy of formation from the pure elements	-0.21	eV/atom
size of the total moment	0.0	μB per formula unit
density of states at the Fermi level	10.44	states/eV/cell

CIF file:
```
data_Pm8Cd2Pb
_cell_length_a 8.8287
_cell_length_b 8.8287
_cell_length_c 8.8027
_cell_angle_alpha 119.08
_cell_angle_beta 119.08
_cell_angle_gamma 35.93
_symmetry_space_group_name_H-M 'P 1'
_symmetry_Int_Tables_number 1
_symmetry_space_group_name_Hall 'P 1'
loop_
_atom_site_label
_atom_site_type_symbol
_atom_site_fract_x
_atom_site_fract_y
_atom_site_fract_z
Pm1 Pm 0.0687 0.0687 0.2194
Pm2 Pm 0.1413 0.1413 0.6907
Pm3 Pm 0.3179 0.3179 0.5478
Pm4 Pm 0.4067 0.4067 0.0463
Pm5 Pm 0.5933 0.5933 0.9537
Pm6 Pm 0.6821 0.6821 0.4522
Pm7 Pm 0.8587 0.8587 0.3093
Pm8 Pm 0.9313 0.9313 0.7806
Cd1 Cd 0.2229 0.2229 0.1107
Cd2 Cd 0.7771 0.7771 0.8893
Pb1 Pb 0.5000 0.5000 0.5000
```

---

10.
A plane-wave DFT calculation with PBE was carried out for a relaxed Pm6Cd5Pb crystal.

energy of formation from the pure elements	-0.36	eV/atom
size of the total moment	1.1	μB per formula unit
density of states at the Fermi level	16.46	states/eV/cell

CIF file:
```
data_Pm6Cd5Pb
_cell_length_a 8.6249
_cell_length_b 8.6249
_cell_length_c 7.6917
_cell_angle_alpha 90.00
_cell_angle_beta 90.00
_cell_angle_gamma 143.32
_symmetry_space_group_name_H-M 'P 1'
_symmetry_Int_Tables_number 1
_symmetry_space_group_name_Hall 'P 1'
loop_
_atom_site_label
_atom_site_type_symbol
_atom_site_fract_x
_atom_site_fract_y
_atom_site_fract_z
Pm1 Pm 0.0000 0.0000 0.2493
Pm2 Pm 0.0000 0.0000 0.7507
Pm3 Pm 0.3327 0.6673 0.2456
Pm4 Pm 0.3327 0.6673 0.7544
Pm5 Pm 0.6673 0.3327 0.2456
Pm6 Pm 0.6673 0.3327 0.7544
Cd1 Cd 0.1663 0.8337 0.0000
Cd2 Cd 0.1738 0.8262 0.5000
Cd3 Cd 0.5000 0.5000 0.0000
Cd4 Cd 0.8262 0.1738 0.5000
Cd5 Cd 0.8337 0.1663 0.0000
Pb1 Pb 0.5000 0.5000 0.5000
```

---

11.
A plane-wave DFT calculation with PBE was carried out for a relaxed PmCdPb crystal.

energy of formation from the pure elements	-0.29	eV/atom
size of the total moment	0.0	μB per formula unit
density of states at the Fermi level	4.02	states/eV/cell
excess energy over the best structure of this formula in the dataset	61	meV/atom

CIF file:
```
data_PmCdPb
_cell_length_a 9.1993
_cell_length_b 9.1993
_cell_length_c 5.1084
_cell_angle_alpha 90.00
_cell_angle_beta 90.00
_cell_angle_gamma 156.62
_symmetry_space_group_name_H-M 'P 1'
_symmetry_Int_Tables_number 1
_symmetry_space_group_name_Hall 'P 1'
loop_
_atom_site_label
_atom_site_type_symbol
_atom_site_fract_x
_atom_site_fract_y
_atom_site_fract_z
Pm1 Pm 0.1070 0.8930 0.7500
Pm2 Pm 0.8930 0.1070 0.2500
Cd1 Cd 0.4566 0.5434 0.7500
Cd2 Cd 0.5434 0.4566 0.2500
Pb1 Pb 0.2878 0.7122 0.7500
Pb2 Pb 0.7122 0.2878 0.2500
```

---

12.
A plane-wave DFT calculation with PBE was carried out for a relaxed Pm6CdPb5 crystal.

energy of formation from the pure elements	-0.48	eV/atom
size of the total moment	0.0	μB per formula unit
density of states at the Fermi level	10.18	states/eV/cell

CIF file:
```
data_Pm6CdPb5
_cell_length_a 8.1341
_cell_length_b 8.1341
_cell_length_c 8.9327
_cell_angle_alpha 90.00
_cell_angle_beta 90.00
_cell_angle_gamma 143.28
_symmetry_space_group_name_H-M 'P 1'
_symmetry_Int_Tables_number 1
_symmetry_space_group_name_Hall 'P 1'
loop_
_atom_site_label
_atom_site_type_symbol
_atom_site_fract_x
_atom_site_fract_y
_atom_site_fract_z
Pm1 Pm 0.0000 0.0000 0.2490
Pm2 Pm 0.0000 0.0000 0.7510
Pm3 Pm 0.3330 0.6670 0.2447
Pm4 Pm 0.3330 0.6670 0.7553
Pm5 Pm 0.6670 0.3330 0.2447
Pm6 Pm 0.6670 0.3330 0.7553
Cd1 Cd 0.5000 0.5000 0.0000
Pb1 Pb 0.1606 0.8394 0.0000
Pb2 Pb 0.1680 0.8320 0.5000
Pb3 Pb 0.5000 0.5000 0.5000
Pb4 Pb 0.8320 0.1680 0.5000
Pb5 Pb 0.8394 0.1606 0.0000
```